A plane-wave DFT calculation with PBE was carried out for a geometry-optimized LaInOs structure.

The structure in CIF format:
```
data_LaInOs
_chemical_formula_sum 'La1 In1 Os1'
_space_group_name_H-M_alt 'P 1'
_space_group_IT_number 1
_cell_length_a 4.909
_cell_length_b 4.909
_cell_length_c 4.909
_cell_angle_alpha 60.00
_cell_angle_beta 60.00
_cell_angle_gamma 60.00
loop_
_space_group_symop_operation_xyz
'x,y,z'
loop_
_atom_site_label
_atom_site_type_symbol
_atom_site_fract_x
_atom_site_fract_y
_atom_site_fract_z
_atom_site_occupancy
In1 In 0.250 0.250 0.250 1
La1 La 0.000 0.000 0.000 1
Os1 Os 0.750 0.750 0.750 1
```

## Properties
Total DFT energy (no corrections) = -5.382 eV per atom
SG = F-43m


A plane-wave DFT calculation with PBE was carried out for a geometry-optimized LaIn5Pd2 structure.

The structure in CIF format:
```
data_LaIn5Pd2
_chemical_formula_sum 'La1 In5 Pd2'
_space_group_name_H-M_alt 'P 1'
_space_group_IT_number 1
_cell_length_a 7.026
_cell_length_b 7.026
_cell_length_c 4.364
_cell_angle_alpha 108.06
_cell_angle_beta 108.06
_cell_angle_gamma 70.27
loop_
_space_group_symop_operation_xyz
'x,y,z'
loop_
_atom_site_label
_atom_site_type_symbol
_atom_site_fract_x
_atom_site_fract_y
_atom_site_fract_z
_atom_site_occupancy
In1 In 0.500 0.500 0.000 1
In2 In 0.544 0.156 0.350 1
In3 In 0.156 0.544 0.350 1
In4 In 0.844 0.456 0.650 1
In5 In 0.456 0.844 0.650 1
La1 La 0.000 0.000 0.000 1
Pd1 Pd 0.753 0.753 0.253 1
Pd2 Pd 0.247 0.247 0.747 1
```

## Properties
Total DFT energy (no corrections) = -4.104 eV per atom
SG = Immm


A plane-wave DFT calculation with PBE was carried out for a geometry-optimized La11In9Pd4 structure.

The structure in CIF format:
```
data_La11In9Pd4
_chemical_formula_sum 'La11 In9 Pd4'
_space_group_name_H-M_alt 'P 1'
_space_group_IT_number 1
_cell_length_a 13.707
_cell_length_b 13.707
_cell_length_c 3.875
_cell_angle_alpha 90.00
_cell_angle_beta 90.00
_cell_angle_gamma 112.39
loop_
_space_group_symop_operation_xyz
'x,y,z'
loop_
_atom_site_label
_atom_site_type_symbol
_atom_site_fract_x
_atom_site_fract_y
_atom_site_fract_z
_atom_site_occupancy
In1 In 0.219 0.078 0.000 1
In2 In 0.633 0.164 0.000 1
In3 In 0.078 0.219 0.000 1
In4 In 0.836 0.367 0.000 1
In5 In 0.500 0.500 0.000 1
In6 In 0.164 0.633 0.000 1
In7 In 0.922 0.781 0.000 1
In8 In 0.367 0.836 0.000 1
In9 In 0.781 0.922 0.000 1
La1 La 0.000 0.000 0.500 1
La2 La 0.414 0.067 0.500 1
La3 La 0.838 0.162 0.500 1
La4 La 0.310 0.310 0.500 1
La5 La 0.627 0.373 0.500 1
La6 La 0.067 0.414 0.500 1
La7 La 0.933 0.586 0.500 1
La8 La 0.373 0.627 0.500 1
La9 La 0.690 0.690 0.500 1
La10 La 0.162 0.838 0.500 1
La11 La 0.586 0.933 0.500 1
Pd1 Pd 0.447 0.244 0.000 1
Pd2 Pd 0.244 0.447 0.000 1
Pd3 Pd 0.756 0.553 0.000 1
Pd4 Pd 0.553 0.756 0.000 1
```

## Properties
Total DFT energy (no corrections) = -4.822 eV per atom
SG = Cmmm


A plane-wave DFT calculation with PBE was carried out for a geometry-optimized La2In2PdPt3 structure.

The structure in CIF format:
```
data_La2In2PdPt3
_chemical_formula_sum 'La2 In2 Pd1 Pt3'
_space_group_name_H-M_alt 'P 1'
_space_group_IT_number 1
_cell_length_a 4.686
_cell_length_b 4.686
_cell_length_c 9.395
_cell_angle_alpha 90.00
_cell_angle_beta 90.00
_cell_angle_gamma 120.00
loop_
_space_group_symop_operation_xyz
'x,y,z'
loop_
_atom_site_label
_atom_site_type_symbol
_atom_site_fract_x
_atom_site_fract_y
_atom_site_fract_z
_atom_site_occupancy
In1 In 0.333 0.667 0.002 1
In2 In 0.333 0.667 0.501 1
La1 La 0.000 0.000 0.252 1
La2 La 0.667 0.333 0.745 1
Pd1 Pd 0.000 0.000 0.917 1
Pt1 Pt 0.667 0.333 0.079 1
Pt2 Pt 0.667 0.333 0.416 1
Pt3 Pt 0.000 0.000 0.588 1
```

## Properties
Total DFT energy (no corrections) = -5.744 eV per atom
SG = P3m1


A plane-wave DFT calculation with PBE was carried out for a geometry-optimized La2In2Pd3Pt structure.

The structure in CIF format:
```
data_La2In2Pd3Pt
_chemical_formula_sum 'La2 In2 Pd3 Pt1'
_space_group_name_H-M_alt 'P 1'
_space_group_IT_number 1
_cell_length_a 4.685
_cell_length_b 4.685
_cell_length_c 9.381
_cell_angle_alpha 90.00
_cell_angle_beta 90.00
_cell_angle_gamma 120.00
loop_
_space_group_symop_operation_xyz
'x,y,z'
loop_
_atom_site_label
_atom_site_type_symbol
_atom_site_fract_x
_atom_site_fract_y
_atom_site_fract_z
_atom_site_occupancy
In1 In 0.667 0.333 0.002 1
In2 In 0.667 0.333 0.501 1
La1 La 0.333 0.667 0.246 1
La2 La 0.000 0.000 0.752 1
Pd1 Pd 0.000 0.000 0.423 1
Pd2 Pd 0.333 0.667 0.580 1
Pd3 Pd 0.333 0.667 0.914 1
Pt1 Pt 0.000 0.000 0.082 1
```

## Properties
Total DFT energy (no corrections) = -5.460 eV per atom
SG = P3m1


A plane-wave DFT calculation with PBE was carried out for a geometry-optimized La3In3PdPt2 structure.

The structure in CIF format:
```
data_La3In3PdPt2
_chemical_formula_sum 'La3 In3 Pd1 Pt2'
_space_group_name_H-M_alt 'P 1'
_space_group_IT_number 1
_cell_length_a 7.824
_cell_length_b 7.824
_cell_length_c 4.130
_cell_angle_alpha 90.00
_cell_angle_beta 90.00
_cell_angle_gamma 120.00
loop_
_space_group_symop_operation_xyz
'x,y,z'
loop_
_atom_site_label
_atom_site_type_symbol
_atom_site_fract_x
_atom_site_fract_y
_atom_site_fract_z
_atom_site_occupancy
In1 In 0.247 0.000 0.500 1
In2 In 0.000 0.247 0.500 1
In3 In 0.753 0.753 0.500 1
La1 La 0.584 0.000 0.000 1
La2 La 0.416 0.416 0.000 1
La3 La 0.000 0.584 0.000 1
Pd1 Pd 0.000 0.000 0.000 1
Pt1 Pt 0.667 0.333 0.500 1
Pt2 Pt 0.333 0.667 0.500 1
```

## Properties
Total DFT energy (no corrections) = -5.426 eV per atom
SG = P-62m